# 1
Entry from the Alexandria database: a relaxed CsLiTlSiBr crystal (PBE-GGA).

Unit cell a=15.097 b=5.201 c=4.754 alpha=90.00 beta=97.77 gamma=90.00
Space group Cm (No. 8)
One atom of each set of equivalent atoms:
Cs 0.000 0.000 0.000 x2
Li 0.293 0.000 0.201 x2
Tl 0.177 0.500 0.584 x2
Si 0.246 0.500 0.113 x2
Br 0.449 0.000 0.481 x2

Calculated values
The polymorph energy (0 for the lowest one) is 94 meV per atom. For the formation energy (no corrections), the calculation gives -0.431 eV/atom.

---

# 2
Entry from the Alexandria database: a relaxed Nd2BIr2 crystal (PBE-GGA).

Unit cell a=11.336 b=3.796 c=10.283 alpha=90.00 beta=112.52 gamma=90.00
Space group C2/m (No. 12)
One atom of each set of equivalent atoms:
Nd 0.101 0.000 0.409 x4
Nd 0.205 0.500 0.144 x4
B 0.069 0.500 0.820 x4
Ir 0.046 0.000 0.900 x4
Ir 0.125 0.500 0.644 x4

Calculated values
The calculated formation energy comes out at -0.56 eV/atom.

---

# 3
Entry from the Alexandria database: a relaxed AgF2 crystal (PBE-GGA).

Unit cell a=5.062 b=6.027 c=6.200 alpha=90.00 beta=90.00 gamma=90.00
Space group Pbcn (No. 60)
One atom of each set of equivalent atoms:
Ag 0.000 0.161 0.250 x4
F 0.243 0.096 0.621 x8

Calculated values
For the formation energy (no corrections), the calculation gives -1.142 eV/atom.

---

# 4
Entry from the Alexandria database: a relaxed Tb7NdSm12 crystal (PBE-GGA).

Unit cell a=11.472 b=11.472 c=11.472 alpha=90.00 beta=90.00 gamma=90.00
Space group Im-3m (No. 229)
One atom of each set of equivalent atoms:
Tb 0.000 0.000 0.500 x6
Tb 0.250 0.250 0.250 x8
Nd 0.000 0.000 0.000 x2
Sm 0.000 0.252 0.252 x24

Calculated values
The calculated formation energy comes out at 0.66 eV/atom. The polymorph energy (0 for the lowest one) is 497 meV per atom.

---

# 5
Entry from the Alexandria database: a relaxed La2W crystal (PBE-GGA).

Unit cell a=3.126 b=17.319 c=5.599 alpha=90.00 beta=90.00 gamma=90.00
Space group Cmcm (No. 63)
One atom of each set of equivalent atoms:
La 0.000 0.038 0.250 x4
La 0.000 0.293 0.750 x4
W 0.000 0.373 0.250 x4

Calculated values
The calculated formation energy comes out at 0.69 eV/atom. The polymorph energy (0 for the lowest one) is 364 meV per atom.

---

# 6
Entry from the Alexandria database: a relaxed Na2SrInO4 crystal (PBE-GGA).

Unit cell a=6.006 b=3.436 c=6.009 alpha=90.00 beta=109.97 gamma=90.00
Space group P2/m (No. 10)
One atom of each set of equivalent atoms:
Na 0.000 0.000 0.000 x1
Na 0.500 0.500 0.000 x1
Sr 0.000 0.500 0.500 x1
In 0.500 0.000 0.500 x1
O 0.274 0.000 0.728 x2
O 0.280 0.500 0.279 x2

Calculated values
For the formation energy (no corrections), the calculation gives -1.630 eV/atom.

---

# 7
Entry from the Alexandria database: a relaxed BeSnPdAu2 crystal (PBE-GGA).

Unit cell a=5.147 b=5.147 c=4.099 alpha=90.00 beta=90.00 gamma=90.00
Space group P4/mmm (No. 123)
One atom of each set of equivalent atoms:
Be 0.000 0.000 0.000 x1
Sn 0.500 0.500 0.000 x1
Pd 0.000 0.000 0.500 x1
Au 0.000 0.500 0.500 x2

Calculated values
The calculated formation energy comes out at 0.37 eV/atom.

---

# 8
Entry from the Alexandria database: a relaxed Ta2V2C3 crystal (PBE-GGA).

Unit cell a=10.348 b=3.078 c=5.228 alpha=90.00 beta=105.72 gamma=90.00
Space group C2/m (No. 12)
One atom of each set of equivalent atoms:
Ta 0.117 0.000 0.359 x4
V 0.146 0.500 0.853 x4
C 0.000 0.500 0.500 x2
C 0.248 0.500 0.247 x4

Calculated values
The calculated formation energy comes out at -0.59 eV/atom.

---

# 9
Entry from the Alexandria database: a relaxed TcPOs2 crystal (PBE-GGA).

Unit cell a=5.709 b=6.983 c=2.811 alpha=90.00 beta=90.00 gamma=90.00
Space group Cmmm (No. 65)
One atom of each set of equivalent atoms:
Tc 0.000 0.000 0.000 x2
P 0.000 0.500 0.000 x2
Os 0.250 0.250 0.500 x4

Calculated values
The calculated formation energy comes out at 0.40 eV/atom.

---

# 10
Entry from the Alexandria database: a relaxed Mg2SnP crystal (PBE-GGA).

Unit cell a=3.8546 b=3.8546 c=21.5672 alpha=90.00 beta=90.00 gamma=120.00
Space group R-3m (No. 166, hexagonal axes)
One atom of each set of equivalent atoms:
Mg 0.0000 0.0000 0.2240 x6
Sn 0.0000 0.0000 0.0000 x3
P 0.0000 0.0000 0.5000 x3

Calculated values
The calculated formation energy comes out at -0.26 eV/atom. The polymorph energy (0 for the lowest one) is 0 meV per atom.

---

# 11
Entry from the Alexandria database: a relaxed Nd3GaCu4 crystal (PBE-GGA).

Unit cell a=4.654 b=4.783 c=16.539 alpha=90.00 beta=90.00 gamma=90.00
Space group Immm (No. 71)
One atom of each set of equivalent atoms:
Nd 0.000 0.000 0.000 x2
Nd 0.000 0.500 0.205 x4
Ga 0.000 0.000 0.500 x2
Cu 0.000 0.256 0.374 x8

Calculated values
The calculated formation energy comes out at -0.08 eV/atom.

---

# 12
Entry from the Alexandria database: a relaxed Ac2HoSc crystal (PBE-GGA).

Unit cell a=3.6516 b=3.6516 c=38.1279 alpha=90.00 beta=90.00 gamma=120.00
Space group R-3m (No. 166, hexagonal axes)
One atom of each set of equivalent atoms:
Ac 0.0000 0.0000 0.0863 x6
Ho 0.0000 0.0000 0.5000 x3
Sc 0.0000 0.0000 0.0000 x3

Calculated values
The calculated formation energy comes out at 0.33 eV/atom. The polymorph energy (0 for the lowest one) is 256 meV per atom.

---

Record-wise E_tot values, in eV per atom: -2.8772, -7.3431, -3.3403, -4.0322, -6.9090, -4.9917, -3.5270, -10.5320, -9.1636, -3.4151, -4.2989, -4.4476
Record-wise DOS(E_F) values, in states/eV/cell: 0.26, 12.29, 7.25, 45.75, 14.73, 8.07, 1.88, 6.96, 7.33, 4.79, 14.04, 22.08